Crystalline RbAg3O2 at its relaxed geometry. Source: OQMD, functional PBE-GGA.

abc: 7.3958 7.3958 9.4854
angles: 117.53 117.53 27.72
Positions (direct):
Rb1 0.1240 0.1240 0.0006
Rb2 0.8760 0.8760 0.9994
Ag1 0.0505 0.0505 0.3922
Ag2 0.2914 0.2914 0.6395
Ag3 0.3777 0.3777 0.3572
Ag4 0.6223 0.6223 0.6428
Ag5 0.7086 0.7086 0.3605
Ag6 0.9495 0.9495 0.6078
O1 0.2090 0.2090 0.7895
O2 0.4666 0.4666 0.7638
O3 0.5334 0.5334 0.2362
O4 0.7910 0.7910 0.2105

Summary:
VASP energy (eV for the cell shown): -42.88

=====

Crystalline RbAgO at its relaxed geometry. Source: OQMD, functional PBE-GGA.

abc: 3.9382 3.9382 7.4419
angles: 90.00 90.00 90.00
Positions (direct):
Rb1 0.2500 0.2500 0.1492
Rb2 0.7500 0.7500 0.8508
Ag1 0.2500 0.7500 0.5000
Ag2 0.7500 0.2500 0.5000
O1 0.2500 0.2500 0.7218
O2 0.7500 0.7500 0.2782

Summary:
VASP energy (eV for the cell shown): -20.14

=====

Crystalline RbReAg3O4 at its relaxed geometry. Source: OQMD, functional PBE-GGA.

abc: 5.7629 5.7629 5.7629
angles: 90.00 90.00 90.00
Positions (direct):
Rb1 0.0000 0.0000 0.0000
Re1 0.5000 0.5000 0.5000
Ag1 0.0000 0.5000 0.5000
Ag2 0.5000 0.0000 0.5000
Ag3 0.5000 0.5000 0.0000
O1 0.3077 0.3077 0.3077
O2 0.3077 0.6923 0.6923
O3 0.6923 0.3077 0.6923
O4 0.6923 0.6923 0.3077

Summary:
VASP energy (eV for the cell shown): -45.71
Magnetization (μB/f.u.): 1.88

=====

Crystalline RbSc2AgO4 at its relaxed geometry. Source: OQMD, functional PBE-GGA.

abc: 3.2349 3.2349 13.2960
angles: 90.00 90.00 120.00
Positions (direct):
Rb1 0.0000 0.0000 0.0000
Sc1 0.3333 0.6667 0.2673
Sc2 0.3333 0.6667 0.7327
Ag1 0.6667 0.3333 0.5000
O1 0.0000 0.0000 0.1868
O2 0.0000 0.0000 0.8132
O3 0.6667 0.3333 0.3431
O4 0.6667 0.3333 0.6569

Summary:
VASP energy (eV for the cell shown): -54.93
Magnetization (μB/f.u.): 0.00

=====

Crystalline RbAgSnO3 at its relaxed geometry. Source: OQMD, functional PBE-GGA.

abc: 12.6247 3.2389 10.4232
angles: 90.00 90.00 90.00
Positions (direct):
Rb1 0.2409 0.2500 0.1341
Rb2 0.2591 0.7500 0.6341
Rb3 0.7409 0.2500 0.3659
Rb4 0.7591 0.7500 0.8659
Ag1 0.0338 0.2500 0.9097
Ag2 0.4662 0.7500 0.4097
Ag3 0.5338 0.2500 0.5903
Ag4 0.9662 0.7500 0.0903
Sn1 0.0207 0.2500 0.3646
Sn2 0.4793 0.7500 0.8646
Sn3 0.5207 0.2500 0.1354
Sn4 0.9793 0.7500 0.6354
O1 0.0773 0.2500 0.5543
O2 0.0836 0.7500 0.7882
O3 0.1101 0.7500 0.3001
O4 0.3899 0.2500 0.8001
O5 0.4164 0.2500 0.2882
O6 0.4227 0.7500 0.0543
O7 0.5773 0.2500 0.9457
O8 0.5836 0.7500 0.7118
O9 0.6101 0.7500 0.1999
O10 0.8899 0.2500 0.6999
O11 0.9164 0.2500 0.2118
O12 0.9227 0.7500 0.4457

Summary:
VASP energy (eV for the cell shown): -118.82

=====

Crystalline RbTb2AgO4 at its relaxed geometry. Source: OQMD, functional PBE-GGA.

abc: 3.5237 3.5237 13.5212
angles: 90.00 90.00 120.00
Positions (direct):
Rb1 0.0000 0.0000 0.0000
Tb1 0.3333 0.6667 0.2703
Tb2 0.3333 0.6667 0.7297
Ag1 0.6667 0.3333 0.5000
O1 0.0000 0.0000 0.1873
O2 0.0000 0.0000 0.8127
O3 0.6667 0.3333 0.3472
O4 0.6667 0.3333 0.6528

Summary:
VASP energy (eV for the cell shown): -51.75
Magnetization (μB/f.u.): 0.00

=====

Crystalline RbTbAg3O4 at its relaxed geometry. Source: OQMD, functional PBE-GGA.

abc: 5.7260 5.7260 5.7260
angles: 90.00 90.00 90.00
Positions (direct):
Rb1 0.0000 0.0000 0.0000
Tb1 0.5000 0.5000 0.5000
Ag1 0.0000 0.5000 0.5000
Ag2 0.5000 0.0000 0.5000
Ag3 0.5000 0.5000 0.0000
O1 0.2832 0.2832 0.2832
O2 0.2832 0.7168 0.7168
O3 0.7168 0.2832 0.7168
O4 0.7168 0.7168 0.2832

Summary:
VASP energy (eV for the cell shown): -41.98
Magnetization (μB/f.u.): 0.33

=====

Crystalline RbTm2AgO4 at its relaxed geometry. Source: OQMD, functional PBE-GGA.

abc: 3.4291 3.4291 13.4637
angles: 90.00 90.00 120.00
Positions (direct):
Rb1 0.0000 0.0000 0.0000
Tm1 0.6667 0.3333 0.2691
Tm2 0.6667 0.3333 0.7309
Ag1 0.3333 0.6667 0.5000
O1 0.0000 0.0000 0.1873
O2 0.0000 0.0000 0.8127
O3 0.3333 0.6667 0.3455
O4 0.3333 0.6667 0.6545

Summary:
VASP energy (eV for the cell shown): -51.93
Magnetization (μB/f.u.): 0.00